NbV6Mo2 | PBE | optimized geometry

For the size of the total moment, the calculation gives 0.000 μB per formula unit. For the formation energy, the calculation gives -0.0490 eV/atom. Its symmetry is C2/m (12). For the total energy, the calculation gives -9.654 eV per atom. The value obtained for the density of states at the Fermi level is 12.41 states/eV/cell.

a b c (Å): 5.070 5.070 9.224
angles (deg): 106.34 106.34 35.35
Positions (direct):
Nb 0.000 0.000 0.000
V 0.009 0.009 0.341
V 0.333 0.333 0.119
V 0.337 0.337 0.444
V 0.663 0.663 0.556
V 0.667 0.667 0.881
V 0.991 0.991 0.659
Mo 0.324 0.324 0.769
Mo 0.676 0.676 0.231